[1]
Here is a relaxed BaPrSn2S6 crystal from Alexandria via LeMat-Bulk. Energies are from GGA-PBEsol.

```
data_BaPrSn2S6
_chemical_formula_sum 'Ba4 Pr4 Sn8 S24'
_cell_length_a 3.9977
_cell_length_b 11.8795
_cell_length_c 19.8502
_cell_angle_alpha 90.00
_cell_angle_beta 90.00
_cell_angle_gamma 90.00
_space_group_name_H-M_alt 'P 1'
_space_group_IT_number 1
loop_
_space_group_symop_operation_xyz
'x,y,z'
loop_
_atom_site_label
_atom_site_type_symbol
_atom_site_fract_x
_atom_site_fract_y
_atom_site_fract_z
Ba1 Ba 0.5000 0.3171 0.9211
Ba2 Ba 0.5000 0.8171 0.0789
Ba3 Ba 0.5000 0.7535 0.6373
Ba4 Ba 0.5000 0.2535 0.3627
Pr1 Pr 0.5000 0.6824 0.8783
Pr2 Pr 0.5000 0.1824 0.1217
Pr3 Pr 0.5000 0.8751 0.4195
Pr4 Pr 0.5000 0.3751 0.5805
Sn1 Sn 0.5000 0.0996 0.7452
Sn2 Sn 0.5000 0.5996 0.2548
Sn3 Sn 0.0000 0.9934 0.9082
Sn4 Sn 0.0000 0.4934 0.0918
Sn5 Sn 0.0000 0.5009 0.7503
Sn6 Sn 0.0000 0.0009 0.2497
Sn7 Sn 0.0000 0.5503 0.4234
Sn8 Sn 0.0000 0.0503 0.5766
S1 S 0.5000 0.0583 0.9857
S2 S 0.5000 0.5583 0.0143
S3 S 0.5000 0.9201 0.8327
S4 S 0.5000 0.4201 0.1673
S5 S 0.5000 0.5984 0.4934
S6 S 0.5000 0.0984 0.5066
S7 S 0.5000 0.8771 0.2606
S8 S 0.5000 0.3771 0.7394
S9 S 0.0000 0.7953 0.9577
S10 S 0.0000 0.2953 0.0423
S11 S 0.0000 0.5042 0.8786
S12 S 0.0000 0.0042 0.1214
S13 S 0.0000 0.1688 0.8383
S14 S 0.0000 0.6688 0.1617
S15 S 0.0000 0.7058 0.7680
S16 S 0.0000 0.2058 0.2320
S17 S 0.0000 0.9511 0.6841
S18 S 0.0000 0.4511 0.3159
S19 S 0.0000 0.5390 0.6253
S20 S 0.0000 0.0390 0.3747
S21 S 0.0000 0.8522 0.5242
S22 S 0.0000 0.3522 0.4758
S23 S 0.0000 0.7320 0.3598
S24 S 0.0000 0.2320 0.6402
```

Values from the calculation:
Raw formation energy (meV/atom): -1228
Total moment (μB/cell): 0.00
Density (Mg/m³): 5.0

***

[2]
Here is a relaxed Zr3CuO crystal from Alexandria via LeMat-Bulk. Energies are from GGA-PBEsol.

```
data_Zr3CuO
_chemical_formula_sum 'Zr3 Cu1 O1'
_cell_length_a 4.7980
_cell_length_b 4.7980
_cell_length_c 4.7980
_cell_angle_alpha 90.00
_cell_angle_beta 90.00
_cell_angle_gamma 90.00
_space_group_name_H-M_alt 'P 1'
_space_group_IT_number 1
loop_
_space_group_symop_operation_xyz
'x,y,z'
loop_
_atom_site_label
_atom_site_type_symbol
_atom_site_fract_x
_atom_site_fract_y
_atom_site_fract_z
O1 O 0.5000 0.5000 0.5000
Cu1 Cu 0.0000 0.0000 0.0000
Zr1 Zr 0.0000 0.5000 0.0000
Zr2 Zr 0.0000 0.0000 0.5000
Zr3 Zr 0.5000 0.0000 0.0000
```

Values from the calculation:
Raw formation energy (meV/atom): 879
Total moment (μB/cell): 0.85
Density (Mg/m³): 5.3

***

[3]
Here is a relaxed La2MnRh crystal from Alexandria via LeMat-Bulk. Energies are from GGA-PBEsol.

```
data_La2MnRh
_chemical_formula_sum 'La2 Mn1 Rh1'
_cell_length_a 3.5382
_cell_length_b 4.5062
_cell_length_c 6.3698
_cell_angle_alpha 110.71
_cell_angle_beta 106.12
_cell_angle_gamma 90.00
_space_group_name_H-M_alt 'P 1'
_space_group_IT_number 1
loop_
_space_group_symop_operation_xyz
'x,y,z'
loop_
_atom_site_label
_atom_site_type_symbol
_atom_site_fract_x
_atom_site_fract_y
_atom_site_fract_z
La1 La 0.0255 0.5255 0.0511
La2 La 0.2364 0.2364 0.4728
Mn1 Mn 0.4464 0.9464 0.8928
Rh1 Rh 0.7916 0.7916 0.5833
```

Values from the calculation:
Energy above the lowest structure with this stoichiometry (kJ/mol of atoms): 2.1
Total moment (μB/cell): 3.11
Density (Mg/m³): 8.0
E_form (eV/atom): -0.0859

***

[4]
Here is a relaxed ZnCl2 crystal from Alexandria via LeMat-Bulk. Energies are from GGA-PBEsol.

```
data_ZnCl2
_chemical_formula_sum 'Zn2 Cl4'
_cell_length_a 3.9912
_cell_length_b 3.9912
_cell_length_c 8.6948
_cell_angle_alpha 90.00
_cell_angle_beta 90.00
_cell_angle_gamma 120.00
_space_group_name_H-M_alt 'P 1'
_space_group_IT_number 1
loop_
_space_group_symop_operation_xyz
'x,y,z'
loop_
_atom_site_label
_atom_site_type_symbol
_atom_site_fract_x
_atom_site_fract_y
_atom_site_fract_z
Cl1 Cl 0.0000 0.0000 0.0000
Cl2 Cl 0.0000 0.0000 0.5000
Cl3 Cl 0.6667 0.3333 0.7500
Cl4 Cl 0.3333 0.6667 0.2500
Zn1 Zn 0.3333 0.6667 0.7500
Zn2 Zn 0.6667 0.3333 0.2500
```

Values from the calculation:
Raw formation energy (meV/atom): -563
Total moment (μB/cell): 0.00
Density (Mg/m³): 3.8

***

[5]
Here is a relaxed Y3GaRu crystal from Alexandria via LeMat-Bulk. Energies are from GGA-PBEsol.

```
data_Y3GaRu
_chemical_formula_sum 'Y3 Ga1 Ru1'
_cell_length_a 5.1990
_cell_length_b 5.1990
_cell_length_c 5.1990
_cell_angle_alpha 90.00
_cell_angle_beta 90.00
_cell_angle_gamma 90.00
_space_group_name_H-M_alt 'P 1'
_space_group_IT_number 1
loop_
_space_group_symop_operation_xyz
'x,y,z'
loop_
_atom_site_label
_atom_site_type_symbol
_atom_site_fract_x
_atom_site_fract_y
_atom_site_fract_z
Y1 Y 0.0000 0.5000 0.0000
Y2 Y 0.0000 0.0000 0.5000
Y3 Y 0.5000 0.0000 0.0000
Ru1 Ru 0.5000 0.5000 0.5000
Ga1 Ga 0.0000 0.0000 0.0000
```

Values from the calculation:
Total moment (μB/cell): 0.00
Density (Mg/m³): 5.2
E_form (eV/atom): 0.7068

***

[6]
Here is a relaxed YTaBi2 crystal from Alexandria via LeMat-Bulk. Energies are from GGA-PBEsol.

```
data_YTaBi2
_chemical_formula_sum 'Y1 Ta1 Bi2'
_cell_length_a 5.1121
_cell_length_b 5.1121
_cell_length_c 5.1121
_cell_angle_alpha 60.00
_cell_angle_beta 60.00
_cell_angle_gamma 60.00
_space_group_name_H-M_alt 'P 1'
_space_group_IT_number 1
loop_
_space_group_symop_operation_xyz
'x,y,z'
loop_
_atom_site_label
_atom_site_type_symbol
_atom_site_fract_x
_atom_site_fract_y
_atom_site_fract_z
Y1 Y 0.0000 0.0000 0.0000
Bi1 Bi 0.2500 0.2500 0.2500
Bi2 Bi 0.7500 0.7500 0.7500
Ta1 Ta 0.5000 0.5000 0.5000
```

Values from the calculation:
Total moment (μB/cell): 0.00
Density (Mg/m³): 12.1
E_form (eV/atom): -0.0161

***

[7]
Here is a relaxed Na2CuIrO crystal from Alexandria via LeMat-Bulk. Energies are from GGA-PBEsol.

```
data_Na2CuIrO
_chemical_formula_sum 'Na2 Cu1 Ir1 O1'
_cell_length_a 4.5006
_cell_length_b 5.0852
_cell_length_c 5.0852
_cell_angle_alpha 90.00
_cell_angle_beta 90.00
_cell_angle_gamma 90.00
_space_group_name_H-M_alt 'P 1'
_space_group_IT_number 1
loop_
_space_group_symop_operation_xyz
'x,y,z'
loop_
_atom_site_label
_atom_site_type_symbol
_atom_site_fract_x
_atom_site_fract_y
_atom_site_fract_z
Na1 Na 0.0000 0.0000 0.5000
Na2 Na 0.0000 0.5000 0.0000
Ir1 Ir 0.5000 0.0000 0.0000
O1 O 0.5000 0.5000 0.5000
Cu1 Cu 0.0000 0.0000 0.0000
```

Values from the calculation:
Raw formation energy (meV/atom): 1166
Total moment (μB/cell): 2.67
Density (Mg/m³): 4.5

***

[8]
Here is a relaxed VMoO5 crystal from Alexandria via LeMat-Bulk. Energies are from GGA-PBEsol.

```
data_VMoO5
_chemical_formula_sum 'V2 Mo2 O10'
_cell_length_a 4.3702
_cell_length_b 6.5751
_cell_length_c 6.5751
_cell_angle_alpha 90.00
_cell_angle_beta 90.00
_cell_angle_gamma 90.00
_space_group_name_H-M_alt 'P 1'
_space_group_IT_number 1
loop_
_space_group_symop_operation_xyz
'x,y,z'
loop_
_atom_site_label
_atom_site_type_symbol
_atom_site_fract_x
_atom_site_fract_y
_atom_site_fract_z
V1 V 0.1630 0.5000 0.0000
V2 V 0.8370 0.0000 0.5000
Mo1 Mo 0.5000 0.0000 0.0000
Mo2 Mo 0.5000 0.5000 0.5000
O1 O 0.2635 0.7812 0.0002
O2 O 0.2635 0.5002 0.7188
O3 O 0.2635 0.4998 0.2812
O4 O 0.2635 0.2188 0.9998
O5 O 0.7953 0.5000 0.0000
O6 O 0.2047 0.0000 0.5000
O7 O 0.7365 0.2812 0.5002
O8 O 0.7365 0.0002 0.2188
O9 O 0.7365 0.9998 0.7812
O10 O 0.7365 0.7188 0.4998
```

Values from the calculation:
Energy above the lowest structure with this stoichiometry (kJ/mol of atoms): 0.0
Raw formation energy (meV/atom): -2110
Total moment (μB/cell): 0.33
Density (Mg/m³): 4.0

***

[9]
Here is a relaxed ZnSiIN2 crystal from Alexandria via LeMat-Bulk. Energies are from GGA-PBEsol.

```
data_ZnSiIN2
_chemical_formula_sum 'Zn1 Si1 I1 N2'
_cell_length_a 3.5846
_cell_length_b 3.5846
_cell_length_c 6.2663
_cell_angle_alpha 90.00
_cell_angle_beta 90.00
_cell_angle_gamma 90.00
_space_group_name_H-M_alt 'P 1'
_space_group_IT_number 1
loop_
_space_group_symop_operation_xyz
'x,y,z'
loop_
_atom_site_label
_atom_site_type_symbol
_atom_site_fract_x
_atom_site_fract_y
_atom_site_fract_z
I1 I 0.0000 0.0000 0.5000
Zn1 Zn 0.5000 0.5000 0.5000
Si1 Si 0.0000 0.0000 0.0000
N1 N 0.0000 0.5000 0.0000
N2 N 0.5000 0.0000 0.0000
```

Values from the calculation:
Raw formation energy (meV/atom): 563
Total moment (μB/cell): 0.00
Density (Mg/m³): 5.1

***

[10]
Here is a relaxed KLiCo2 crystal from Alexandria via LeMat-Bulk. Energies are from GGA-PBEsol.

```
data_KLiCo2
_chemical_formula_sum 'K1 Li1 Co2'
_cell_length_a 2.6161
_cell_length_b 2.6161
_cell_length_c 9.8217
_cell_angle_alpha 82.35
_cell_angle_beta 82.35
_cell_angle_gamma 60.00
_space_group_name_H-M_alt 'P 1'
_space_group_IT_number 1
loop_
_space_group_symop_operation_xyz
'x,y,z'
loop_
_atom_site_label
_atom_site_type_symbol
_atom_site_fract_x
_atom_site_fract_y
_atom_site_fract_z
Co1 Co 0.2396 0.2396 0.2812
Co2 Co 0.7604 0.7604 0.7188
K1 K 0.0000 0.0000 0.0000
Li1 Li 0.5000 0.5000 0.5000
```

Values from the calculation:
Energy above the lowest structure with this stoichiometry (kJ/mol of atoms): 0.0
Total moment (μB/cell): 2.53
Density (Mg/m³): 4.7
E_form (eV/atom): 0.8841

***

[11]
Here is a relaxed Ti2HPdS crystal from Alexandria via LeMat-Bulk. Energies are from GGA-PBEsol.

```
data_Ti2HPdS
_chemical_formula_sum 'Ti2 H1 Pd1 S1'
_cell_length_a 4.3297
_cell_length_b 4.4611
_cell_length_c 4.4611
_cell_angle_alpha 90.00
_cell_angle_beta 90.00
_cell_angle_gamma 90.00
_space_group_name_H-M_alt 'P 1'
_space_group_IT_number 1
loop_
_space_group_symop_operation_xyz
'x,y,z'
loop_
_atom_site_label
_atom_site_type_symbol
_atom_site_fract_x
_atom_site_fract_y
_atom_site_fract_z
H1 H 0.5000 0.5000 0.5000
S1 S 0.0000 0.0000 0.0000
Pd1 Pd 0.5000 0.0000 0.0000
Ti1 Ti 0.0000 0.0000 0.5000
Ti2 Ti 0.0000 0.5000 0.0000
```

Values from the calculation:
Total moment (μB/cell): 0.00
Density (Mg/m³): 4.5
VASP energy (eV/f.u.): -28.76

***

[12]
Here is a relaxed TlAg4Pb crystal from Alexandria via LeMat-Bulk. Energies are from GGA-PBEsol.

```
data_TlAg4Pb
_chemical_formula_sum 'Tl1 Ag4 Pb1'
_cell_length_a 5.5599
_cell_length_b 5.5599
_cell_length_c 5.5599
_cell_angle_alpha 60.00
_cell_angle_beta 60.00
_cell_angle_gamma 60.00
_space_group_name_H-M_alt 'P 1'
_space_group_IT_number 1
loop_
_space_group_symop_operation_xyz
'x,y,z'
loop_
_atom_site_label
_atom_site_type_symbol
_atom_site_fract_x
_atom_site_fract_y
_atom_site_fract_z
Pb1 Pb 0.7500 0.7500 0.7500
Tl1 Tl 0.0000 0.0000 0.0000
Ag1 Ag 0.8752 0.3749 0.3749
Ag2 Ag 0.3749 0.3749 0.3749
Ag3 Ag 0.3749 0.3749 0.8752
Ag4 Ag 0.3749 0.8752 0.3749
```

Values from the calculation:
Total moment (μB/cell): 0.00
Density (Mg/m³): 11.5
E_form (eV/atom): 0.0690

***

- What is the density in the third record?
  8.0 Mg/m³

***

Copy entry 1 word for word.
Here is a relaxed BaPrSn2S6 crystal from Alexandria via LeMat-Bulk. Energies are from GGA-PBEsol.

```
data_BaPrSn2S6
_chemical_formula_sum 'Ba4 Pr4 Sn8 S24'
_cell_length_a 3.9977
_cell_length_b 11.8795
_cell_length_c 19.8502
_cell_angle_alpha 90.00
_cell_angle_beta 90.00
_cell_angle_gamma 90.00
_space_group_name_H-M_alt 'P 1'
_space_group_IT_number 1
loop_
_space_group_symop_operation_xyz
'x,y,z'
loop_
_atom_site_label
_atom_site_type_symbol
_atom_site_fract_x
_atom_site_fract_y
_atom_site_fract_z
Ba1 Ba 0.5000 0.3171 0.9211
Ba2 Ba 0.5000 0.8171 0.0789
Ba3 Ba 0.5000 0.7535 0.6373
Ba4 Ba 0.5000 0.2535 0.3627
Pr1 Pr 0.5000 0.6824 0.8783
Pr2 Pr 0.5000 0.1824 0.1217
Pr3 Pr 0.5000 0.8751 0.4195
Pr4 Pr 0.5000 0.3751 0.5805
Sn1 Sn 0.5000 0.0996 0.7452
Sn2 Sn 0.5000 0.5996 0.2548
Sn3 Sn 0.0000 0.9934 0.9082
Sn4 Sn 0.0000 0.4934 0.0918
Sn5 Sn 0.0000 0.5009 0.7503
Sn6 Sn 0.0000 0.0009 0.2497
Sn7 Sn 0.0000 0.5503 0.4234
Sn8 Sn 0.0000 0.0503 0.5766
S1 S 0.5000 0.0583 0.9857
S2 S 0.5000 0.5583 0.0143
S3 S 0.5000 0.9201 0.8327
S4 S 0.5000 0.4201 0.1673
S5 S 0.5000 0.5984 0.4934
S6 S 0.5000 0.0984 0.5066
S7 S 0.5000 0.8771 0.2606
S8 S 0.5000 0.3771 0.7394
S9 S 0.0000 0.7953 0.9577
S10 S 0.0000 0.2953 0.0423
S11 S 0.0000 0.5042 0.8786
S12 S 0.0000 0.0042 0.1214
S13 S 0.0000 0.1688 0.8383
S14 S 0.0000 0.6688 0.1617
S15 S 0.0000 0.7058 0.7680
S16 S 0.0000 0.2058 0.2320
S17 S 0.0000 0.9511 0.6841
S18 S 0.0000 0.4511 0.3159
S19 S 0.0000 0.5390 0.6253
S20 S 0.0000 0.0390 0.3747
S21 S 0.0000 0.8522 0.5242
S22 S 0.0000 0.3522 0.4758
S23 S 0.0000 0.7320 0.3598
S24 S 0.0000 0.2320 0.6402
```

Values from the calculation:
Raw formation energy (meV/atom): -1228
Total moment (μB/cell): 0.00
Density (Mg/m³): 5.0

***

- Look up the total moment of the first one.
  0.00 μB/cell

***

- The highest density belongs to which entry?
  YTaBi2